La3SmTm | GGA-PBE | optimized geometry

As for the crystal system: monoclinic. For the formation energy, the calculation gives 0.0559 eV per atom. For the energy above the most stable polymorph in this dataset, the calculation gives 0.000 eV per atom. The value obtained for the total energy is -94.8 eV for the cell shown.

extended XYZ file:
```
20
Lattice="-4.521 3.003 3.971 -8.240 -6.180 -1.316 1.005 -5.540 8.724" Properties=species:S:1:pos:R:3 pbc="T T T"
La -5.899 -8.884 7.147
La -2.454 -1.255 3.488
La -5.856 0.167 4.233
La -9.302 -7.462 7.892
La -4.766 -1.427 0.966
La -8.223 -9.033 4.634
La -6.990 -7.290 10.413
La -3.533 0.316 6.746
La -2.912 -6.690 6.496
La -3.214 -3.295 6.558
La -8.844 -2.027 4.884
La -8.542 -5.422 4.822
Sm -11.023 -3.885 2.323
Sm -0.733 -4.832 9.057
Sm -4.158 -3.411 9.777
Sm -7.597 -5.306 1.602
Tm -6.222 -5.283 7.355
Tm -6.512 -1.844 7.403
Tm -5.534 -3.434 4.025
Tm -5.243 -6.873 3.977
```